Here is an optimized crystal structure of Li2NiP from the Alexandria database. Energies are from PBE.

abc: 8.3502 8.3502 8.3502
angles: 18.18 18.18 18.18
Sites, in units of the cell vectors:
Li 0.0020 0.0020 0.0020
Li 0.4980 0.4980 0.4980
Ni 0.2500 0.2500 0.2500
P 0.7500 0.7500 0.7500

Computed properties:
calculated total energy: -3.80 eV per atom
N(E_F): 3.32 states/eV/cell
ΔH_f (0 K): -48 meV/atom

Here is an optimized crystal structure of CeErAgGe from the Alexandria database. Energies are from PBE.

abc: 5.1333 5.1333 5.1333
angles: 60.00 60.00 60.00
Last column: magnetic moment on the atom in μB.
Sites, in units of the cell vectors:
Ge 0.2500 0.2500 0.2500  -0.02
Ag 0.7500 0.7500 0.7500  0.04
Ce 0.0000 0.0000 0.0000  0.94
Er 0.5000 0.5000 0.5000  0.28

Computed properties:
calculated total energy: -4.92 eV per atom
N(E_F): 9.34 states/eV/cell
ΔH_f (0 K): -431 meV/atom

Here is an optimized crystal structure of SbMo from the Alexandria database. Energies are from PBE.

abc: 4.6829 3.3293 5.7522
angles: 54.78 90.00 90.00
Sites, in units of the cell vectors:
Mo 0.7500 0.2500 0.2501
Mo 0.2500 0.7500 0.7499
Sb 0.7500 0.2498 0.7500
Sb 0.2500 0.7502 0.2500

Computed properties:
calculated total energy: -7.22 eV per atom
N(E_F): 4.39 states/eV/cell
ΔE_f (raw): 0.51 eV per formula unit

Here is an optimized crystal structure of ZrHgP2 from the Alexandria database. Energies are from PBE.

abc: 5.7394 5.7394 5.7394
angles: 141.15 141.15 56.11
Sites, in units of the cell vectors:
Hg 0.7500 0.2500 0.5000
P 0.0000 0.0000 0.0000
P 0.2500 0.7500 0.5000
Zr 0.5000 0.5000 0.0000

Computed properties:
calculated total energy: -5.11 eV per atom
N(E_F): 2.11 states/eV/cell
ΔH_f (0 K): -197 meV/atom

Here is an optimized crystal structure of Zr2Re2Tc from the Alexandria database. Energies are from PBE.

abc: 6.4844 6.4844 4.5002
angles: 90.00 90.00 90.00
Sites, in units of the cell vectors:
Re 0.3647 0.8647 0.0000
Re 0.8647 0.6353 0.0000
Re 0.6353 0.1353 0.0000
Re 0.1353 0.3647 0.0000
Tc 0.0000 0.0000 0.0000
Tc 0.5000 0.5000 0.0000
Zr 0.1798 0.6798 0.5000
Zr 0.6798 0.8202 0.5000
Zr 0.8202 0.3202 0.5000
Zr 0.3202 0.1798 0.5000

Computed properties:
calculated total energy: -10.46 eV per atom
N(E_F): 10.54 states/eV/cell
ΔH_f (0 K): 15 meV/atom

Here is an optimized crystal structure of CaPmSmRu from the Alexandria database. Energies are from PBE.

abc: 5.2529 5.2529 5.2529
angles: 60.00 60.00 60.00
Sites, in units of the cell vectors:
Ru 0.2500 0.2500 0.2500
Ca 0.7500 0.7500 0.7500
Sm 0.5000 0.5000 0.5000
Pm 0.0000 0.0000 0.0000

Computed properties:
calculated total energy: -5.08 eV per atom
N(E_F): 3.27 states/eV/cell
ΔH_f (0 K): 111 meV/atom

Here is an optimized crystal structure of SrCuPPd from the Alexandria database. Energies are from PBE.

abc: 3.8565 3.8565 10.8871
angles: 90.00 90.00 90.00
Sites, in units of the cell vectors:
Sr 0.7500 0.7500 0.2646
Sr 0.2500 0.2500 0.7354
Cu 0.7500 0.2500 0.0000
Cu 0.2500 0.7500 0.0000
P 0.7500 0.7500 0.8741
P 0.2500 0.2500 0.1259
Pd 0.2500 0.7500 0.5000
Pd 0.7500 0.2500 0.5000

Computed properties:
calculated total energy: -4.58 eV per atom
N(E_F): 6.57 states/eV/cell
ΔH_f (0 K): -484 meV/atom

Here is an optimized crystal structure of Ga5CuRh4 from the Alexandria database. Energies are from PBE.

abc: 3.0349 3.0349 15.2354
angles: 90.00 90.00 90.00
Sites, in units of the cell vectors:
Ga 0.5000 0.5000 0.0973
Ga 0.5000 0.5000 0.2982
Ga 0.5000 0.5000 0.5000
Ga 0.5000 0.5000 0.7018
Ga 0.5000 0.5000 0.9027
Cu 0.0000 0.0000 0.0000
Rh 0.0000 0.0000 0.1981
Rh 0.0000 0.0000 0.4000
Rh 0.0000 0.0000 0.6000
Rh 0.0000 0.0000 0.8019

Computed properties:
calculated total energy: -5.41 eV per atom
N(E_F): 2.98 states/eV/cell
ΔH_f (0 K): -551 meV/atom

Here is an optimized crystal structure of K2Ge2Au from the Alexandria database. Energies are from PBE.

abc: 6.7700 6.7700 6.0386
angles: 55.91 55.91 90.00
Sites, in units of the cell vectors:
Ge 0.3435 0.3435 0.3130
Ge 0.6565 0.6565 0.6870
Au 0.0000 0.0000 0.0000
K 0.7500 0.2500 0.5000
K 0.2500 0.7500 0.5000

Computed properties:
calculated total energy: -2.94 eV per atom
N(E_F): 2.34 states/eV/cell
ΔH_f (0 K): -2 meV/atom

Here is an optimized crystal structure of Zn4NiW from the Alexandria database. Energies are from PBE.

abc: 4.9063 4.9063 4.9063
angles: 60.00 60.00 60.00
Sites, in units of the cell vectors:
Zn 0.8769 0.3744 0.3744
Zn 0.3744 0.3744 0.8769
Zn 0.3744 0.8769 0.3744
Zn 0.3744 0.3744 0.3744
Ni 0.7500 0.7500 0.7500
W 0.0000 0.0000 0.0000

Computed properties:
calculated total energy: -3.62 eV per atom
N(E_F): 10.25 states/eV/cell
ΔH_f (0 K): 347 meV/atom

Here is an optimized crystal structure of Hf2MgS4 from the Alexandria database. Energies are from PBE.

abc: 3.5597 6.1640 12.7768
angles: 90.00 90.00 106.78
Sites, in units of the cell vectors:
Hf 0.1334 0.2669 0.4357
Hf 0.8666 0.7331 0.9357
Hf 0.1334 0.2669 0.0643
Hf 0.8666 0.7331 0.5643
Mg 0.6101 0.2202 0.7500
Mg 0.3899 0.7798 0.2500
S 0.7796 0.5591 0.1216
S 0.7796 0.5591 0.3784
S 0.2204 0.4409 0.8784
S 0.2204 0.4409 0.6216
S 0.9592 0.9183 0.7500
S 0.0408 0.0817 0.2500
S 0.5000 0.0000 0.0000
S 0.5000 0.0000 0.5000

Computed properties:
calculated total energy: -6.84 eV per atom
N(E_F): 5.25 states/eV/cell
ΔE_f (raw): -9.90 eV per formula unit

Here is an optimized crystal structure of TaGaO4 from the Alexandria database. Energies are from PBE.

abc: 4.6841 5.0047 5.6448
angles: 90.00 90.00 90.00
Sites, in units of the cell vectors:
Ta 0.0000 0.0000 0.8181
Ta 0.5000 0.0000 0.3181
Ga 0.0000 0.5000 0.1705
Ga 0.5000 0.5000 0.6705
O 0.7748 0.1691 0.1153
O 0.7724 0.6778 0.8904
O 0.7276 0.6778 0.3904
O 0.7252 0.1691 0.6153
O 0.2724 0.3222 0.3904
O 0.2748 0.8309 0.6153
O 0.2252 0.8309 0.1153
O 0.2276 0.3222 0.8904

Computed properties:
calculated total energy: -8.18 eV per atom
N(E_F): 0.00 states/eV/cell
ΔE_f (raw): -14.37 eV per formula unit

Here is an optimized crystal structure of Pr2BrCl5 from the Alexandria database. Energies are from PBE.

abc: 4.6925 7.3259 7.3259
angles: 71.53 71.32 71.32
Sites, in units of the cell vectors:
Pr 0.7527 0.7473 0.7473
Pr 0.2473 0.2527 0.2527
Br 0.0000 0.0000 0.0000
Cl 0.0000 0.5000 0.5000
Cl 0.6670 0.5179 0.1480
Cl 0.3330 0.4821 0.8520
Cl 0.3330 0.8520 0.4821
Cl 0.6670 0.1480 0.5179

Computed properties:
calculated total energy: -4.64 eV per atom
N(E_F): 0.00 states/eV/cell
ΔE_f (raw): -16.65 eV per formula unit

Here is an optimized crystal structure of RbCdTePPd from the Alexandria database. Energies are from PBE.

abc: 4.0793 4.1120 10.0121
angles: 101.87 89.77 120.40
Sites, in units of the cell vectors:
Rb 0.8961 0.7544 0.3718
Cd 0.3932 0.7295 0.8281
Te 0.6643 0.2803 0.6573
P 0.4797 0.9081 0.0965
Pd 0.7894 0.5303 0.0309

Computed properties:
calculated total energy: -3.43 eV per atom
N(E_F): 2.47 states/eV/cell
ΔE_f (raw): -1.54 eV per formula unit

Here is an optimized crystal structure of KTbFeCl6 from the Alexandria database. Energies are from PBE.

abc: 6.7204 6.7207 6.9920
angles: 89.95 90.06 59.99
Last column: magnetic moment on the atom in μB.
Sites, in units of the cell vectors:
K 0.0000 0.0001 0.0000  0.00
Tb 0.3340 0.3340 0.5000  0.00
Fe 0.6669 0.6669 0.5000  3.50
Cl 0.9812 0.3791 0.2910  0.04
Cl 0.3790 0.9812 0.7090  0.04
Cl 0.6367 0.3818 0.7121  0.04
Cl 0.9821 0.6381 0.7103  0.04
Cl 0.3817 0.6368 0.2879  0.04
Cl 0.6380 0.9821 0.2896  0.04

Computed properties:
calculated total energy: -4.50 eV per atom
N(E_F): 7.19 states/eV/cell
ΔE_f (raw): -15.22 eV per formula unit